Version P
The following is a PBE-GGA calculation of an optimized crystal structure of NaTl4Hg, from Alexandria.

a = 6.473 Å, b = 6.473 Å, c = 6.473 Å
α = 60.00°, β = 60.00°, γ = 60.00°
Fractional positions:
Na: 0.000 0.000 0.000
Tl: 0.126 0.625 0.625
Tl: 0.625 0.126 0.625
Tl: 0.625 0.625 0.126
Tl: 0.625 0.625 0.625
Hg: 0.250 0.250 0.250

Values from the calculation:
- ρ (g cm⁻³) = 9.013
- N(E_F) (states/eV per atom) = 0.471

***

Version Q
The following is a PBE-GGA calculation of an optimized crystal structure of NaTl4Hg, from Alexandria.

a = 10.221 Å, b = 10.221 Å, c = 5.990 Å
α = 96.04°, β = 96.04°, γ = 142.80°
Fractional positions:
Na: 0.123 0.877 0.750
Na: 0.877 0.123 0.250
Tl: 0.040 0.462 0.752
Tl: 0.218 0.295 0.775
Tl: 0.295 0.218 0.275
Tl: 0.462 0.040 0.252
Tl: 0.538 0.960 0.748
Tl: 0.705 0.782 0.725
Tl: 0.782 0.705 0.225
Tl: 0.960 0.538 0.248
Hg: 0.372 0.628 0.250
Hg: 0.628 0.372 0.750

Values from the calculation:
- ρ (g cm⁻³) = 9.682
- N(E_F) (states/eV per atom) = 0.470

***

Going by the energies, version Q is most stable and the next is 58 meV per atom up.

***

Version P
The following is a PBE-GGA calculation of an optimized crystal structure of NaTl3Hg2, from Alexandria.

a = 4.843 Å, b = 14.471 Å, c = 4.804 Å
α = 90.00°, β = 90.00°, γ = 90.00°
Fractional positions:
Na: 0.250 0.250 0.001
Na: 0.750 0.750 0.999
Tl: 0.250 0.079 0.501
Tl: 0.250 0.421 0.501
Tl: 0.250 0.750 0.499
Tl: 0.750 0.250 0.501
Tl: 0.750 0.579 0.499
Tl: 0.750 0.921 0.499
Hg: 0.250 0.587 0.999
Hg: 0.250 0.913 0.999
Hg: 0.750 0.087 0.001
Hg: 0.750 0.413 0.001

Values from the calculation:
- ρ (g cm⁻³) = 10.231
- N(E_F) (states/eV per atom) = 0.492

***

Version Q
The following is a PBE-GGA calculation of an optimized crystal structure of NaTl3Hg2, from Alexandria.

a = 8.606 Å, b = 8.606 Å, c = 8.301 Å
α = 95.57°, β = 95.57°, γ = 35.33°
Fractional positions:
Na: 0.153 0.153 0.274
Na: 0.847 0.847 0.726
Tl: 0.067 0.067 0.854
Tl: 0.310 0.310 0.015
Tl: 0.387 0.387 0.430
Tl: 0.613 0.613 0.570
Tl: 0.690 0.690 0.985
Tl: 0.933 0.933 0.146
Hg: 0.226 0.226 0.645
Hg: 0.460 0.460 0.802
Hg: 0.540 0.540 0.198
Hg: 0.774 0.774 0.355

Values from the calculation:
- ρ (g cm⁻³) = 9.741
- N(E_F) (states/eV per atom) = 0.446

***

Going by the energies, version P is most stable and the next is 10 meV per atom up.

***

Version P
The following is a PBE-GGA calculation of an optimized crystal structure of NaTl6Hg, from Alexandria.

a = 6.763 Å, b = 6.763 Å, c = 5.418 Å
α = 90.00°, β = 90.00°, γ = 106.45°
Fractional positions:
Na: 0.000 0.000 0.000
Tl: 0.000 0.500 0.000
Tl: 0.226 0.774 0.500
Tl: 0.283 0.283 0.500
Tl: 0.500 0.000 0.000
Tl: 0.717 0.717 0.500
Tl: 0.774 0.226 0.500
Hg: 0.500 0.500 0.000

Values from the calculation:
- ρ (g cm⁻³) = 10.130
- N(E_F) (states/eV per atom) = 0.395

***

Version Q
The following is a PBE-GGA calculation of an optimized crystal structure of NaTl6Hg, from Alexandria.

a = 6.905 Å, b = 6.905 Å, c = 6.905 Å
α = 110.56°, β = 110.56°, γ = 110.56°
Fractional positions:
Na: 0.000 0.000 0.000
Tl: 0.251 0.251 0.739
Tl: 0.251 0.739 0.251
Tl: 0.261 0.749 0.749
Tl: 0.739 0.251 0.251
Tl: 0.749 0.261 0.749
Tl: 0.749 0.749 0.261
Hg: 0.500 0.500 0.500

Values from the calculation:
- ρ (g cm⁻³) = 9.919
- N(E_F) (states/eV per atom) = 0.641

***

Going by the energies, version P is most stable and the next is 16 meV per atom up.

***

Version P
The following is a PBE-GGA calculation of an optimized crystal structure of Na8Tl2Hg, from Alexandria.

a = 8.827 Å, b = 8.827 Å, c = 5.838 Å
α = 103.87°, β = 103.87°, γ = 118.41°
Fractional positions:
Na: 0.092 0.328 0.628
Na: 0.211 0.789 0.000
Na: 0.328 0.092 0.628
Na: 0.381 0.381 0.194
Na: 0.619 0.619 0.806
Na: 0.672 0.908 0.372
Na: 0.789 0.211 0.000
Na: 0.908 0.672 0.372
Tl: 0.309 0.691 0.500
Tl: 0.691 0.309 0.500
Hg: 0.000 0.000 0.000

Values from the calculation:
- ρ (g cm⁻³) = 3.726
- N(E_F) (states/eV per atom) = 0.436

***

Version Q
The following is a PBE-GGA calculation of an optimized crystal structure of Na8Tl2Hg, from Alexandria.

a = 9.245 Å, b = 9.245 Å, c = 7.593 Å
α = 102.76°, β = 102.76°, γ = 31.30°
Fractional positions:
Na: 0.043 0.043 0.248
Na: 0.144 0.144 0.695
Na: 0.322 0.322 0.587
Na: 0.401 0.401 0.052
Na: 0.599 0.599 0.948
Na: 0.678 0.678 0.413
Na: 0.856 0.856 0.305
Na: 0.957 0.957 0.752
Tl: 0.224 0.224 0.138
Tl: 0.776 0.776 0.862
Hg: 0.500 0.500 0.500

Values from the calculation:
- ρ (g cm⁻³) = 4.013
- N(E_F) (states/eV per atom) = 0.373

***

Going by the energies, version Q is most stable and the next is 41 meV per atom up.

***

Version P
The following is a PBE-GGA calculation of an optimized crystal structure of Na7Tl3Hg, from Alexandria.

a = 7.040 Å, b = 7.040 Å, c = 8.080 Å
α = 90.00°, β = 90.00°, γ = 120.00°
Fractional positions:
Na: 0.000 0.000 0.000
Na: 0.170 0.339 0.374
Na: 0.170 0.830 0.374
Na: 0.501 0.002 0.005
Na: 0.501 0.499 0.005
Na: 0.661 0.830 0.374
Na: 0.998 0.499 0.005
Tl: 0.342 0.171 0.680
Tl: 0.829 0.171 0.680
Tl: 0.829 0.658 0.680
Hg: 0.667 0.333 0.324

Values from the calculation:
- ρ (g cm⁻³) = 4.666
- N(E_F) (states/eV per atom) = 0.483

***

Version Q
The following is a PBE-GGA calculation of an optimized crystal structure of Na7Tl3Hg, from Alexandria.

a = 15.354 Å, b = 15.354 Å, c = 11.874 Å
α = 90.00°, β = 90.00°, γ = 166.34°
Fractional positions:
Na: 0.028 0.972 0.614
Na: 0.028 0.972 0.886
Na: 0.138 0.862 0.250
Na: 0.142 0.858 0.554
Na: 0.142 0.858 0.946
Na: 0.274 0.726 0.605
Na: 0.274 0.726 0.895
Na: 0.726 0.274 0.105
Na: 0.726 0.274 0.395
Na: 0.858 0.142 0.054
Na: 0.858 0.142 0.446
Na: 0.862 0.138 0.750
Na: 0.972 0.028 0.114
Na: 0.972 0.028 0.386
Tl: 0.300 0.700 0.250
Tl: 0.435 0.565 0.612
Tl: 0.435 0.565 0.888
Tl: 0.565 0.435 0.112
Tl: 0.565 0.435 0.388
Tl: 0.700 0.300 0.750
Hg: 0.402 0.598 0.250
Hg: 0.598 0.402 0.750

Values from the calculation:
- ρ (g cm⁻³) = 4.897
- N(E_F) (states/eV per atom) = 0.433

***

Going by the energies, version Q is most stable and the next is 52 meV per atom up.

***

Version P
The following is a PBE-GGA calculation of an optimized crystal structure of Na2Tl3Hg8, from Alexandria.

a = 12.231 Å, b = 12.231 Å, c = 12.231 Å
α = 29.04°, β = 29.04°, γ = 29.04°
Fractional positions:
Na: 0.138 0.138 0.138
Na: 0.862 0.862 0.862
Tl: 0.317 0.317 0.317
Tl: 0.500 0.500 0.500
Tl: 0.683 0.683 0.683
Hg: 0.222 0.222 0.222
Hg: 0.232 0.232 0.731
Hg: 0.232 0.731 0.232
Hg: 0.269 0.768 0.768
Hg: 0.731 0.232 0.232
Hg: 0.768 0.269 0.768
Hg: 0.768 0.768 0.269
Hg: 0.778 0.778 0.778

Values from the calculation:
- ρ (g cm⁻³) = 9.854
- N(E_F) (states/eV per atom) = 0.475

***

Version Q
The following is a PBE-GGA calculation of an optimized crystal structure of Na2Tl3Hg8, from Alexandria.

a = 8.384 Å, b = 8.384 Å, c = 5.460 Å
α = 102.93°, β = 102.93°, γ = 81.49°
Fractional positions:
Na: 0.198 0.198 0.341
Na: 0.802 0.802 0.659
Tl: 0.260 0.740 0.000
Tl: 0.500 0.500 0.500
Tl: 0.740 0.260 0.000
Hg: 0.066 0.066 0.775
Hg: 0.070 0.572 0.317
Hg: 0.336 0.336 0.912
Hg: 0.428 0.930 0.683
Hg: 0.572 0.070 0.317
Hg: 0.664 0.664 0.088
Hg: 0.930 0.428 0.683
Hg: 0.934 0.934 0.225

Values from the calculation:
- ρ (g cm⁻³) = 10.366
- N(E_F) (states/eV per atom) = 0.435

***

Going by the energies, version Q is most stable and the next is 65 meV per atom up.

***

Version P
The following is a PBE-GGA calculation of an optimized crystal structure of Na8TlHg2, from Alexandria.

a = 5.422 Å, b = 7.585 Å, c = 9.443 Å
α = 66.46°, β = 73.49°, γ = 89.99°
Fractional positions:
Na: 0.000 0.000 0.000
Na: 0.035 0.510 0.929
Na: 0.202 0.341 0.600
Na: 0.366 0.839 0.269
Na: 0.401 0.399 0.198
Na: 0.592 0.899 0.818
Na: 0.702 0.632 0.598
Na: 0.809 0.118 0.383
Tl: 0.201 0.908 0.599
Hg: 0.539 0.251 0.921
Hg: 0.863 0.575 0.274

Values from the calculation:
- ρ (g cm⁻³) = 3.873
- N(E_F) (states/eV per atom) = 0.317

***

Version Q
The following is a PBE-GGA calculation of an optimized crystal structure of Na8TlHg2, from Alexandria.

a = 8.950 Å, b = 8.950 Å, c = 7.972 Å
α = 111.86°, β = 111.86°, γ = 34.10°
Fractional positions:
Na: 0.032 0.032 0.249
Na: 0.162 0.162 0.724
Na: 0.327 0.327 0.585
Na: 0.385 0.385 0.053
Na: 0.615 0.615 0.947
Na: 0.673 0.673 0.415
Na: 0.838 0.838 0.276
Na: 0.968 0.968 0.751
Tl: 0.500 0.500 0.500
Hg: 0.204 0.204 0.167
Hg: 0.796 0.796 0.833

Values from the calculation:
- ρ (g cm⁻³) = 3.976
- N(E_F) (states/eV per atom) = 0.392

***

Going by the energies, version Q is most stable and the next is 6 meV per atom up.

***

Version P
The following is a PBE-GGA calculation of an optimized crystal structure of NaTl4Hg4, from Alexandria.

a = 8.480 Å, b = 8.480 Å, c = 8.229 Å
α = 90.00°, β = 90.00°, γ = 90.00°
Fractional positions:
Na: 0.250 0.750 0.250
Na: 0.750 0.250 0.750
Tl: 0.030 0.750 0.606
Tl: 0.250 0.530 0.894
Tl: 0.250 0.970 0.894
Tl: 0.470 0.750 0.606
Tl: 0.530 0.250 0.394
Tl: 0.750 0.030 0.106
Tl: 0.750 0.470 0.106
Tl: 0.970 0.250 0.394
Hg: 0.042 0.250 0.008
Hg: 0.250 0.042 0.508
Hg: 0.250 0.458 0.508
Hg: 0.458 0.250 0.008
Hg: 0.542 0.750 0.992
Hg: 0.750 0.542 0.492
Hg: 0.750 0.958 0.492
Hg: 0.958 0.750 0.992

Values from the calculation:
- ρ (g cm⁻³) = 9.221
- N(E_F) (states/eV per atom) = 0.456

***

Version Q
The following is a PBE-GGA calculation of an optimized crystal structure of NaTl4Hg4, from Alexandria.

a = 8.098 Å, b = 8.098 Å, c = 8.098 Å
α = 93.77°, β = 93.77°, γ = 150.28°
Fractional positions:
Na: 0.000 0.000 0.000
Tl: 0.000 0.324 0.324
Tl: 0.000 0.676 0.676
Tl: 0.324 0.000 0.324
Tl: 0.676 0.000 0.676
Hg: 0.332 0.332 0.665
Hg: 0.332 0.668 0.000
Hg: 0.668 0.332 0.000
Hg: 0.668 0.668 0.335

Values from the calculation:
- ρ (g cm⁻³) = 10.721
- N(E_F) (states/eV per atom) = 0.482

***

Going by the energies, version Q is most stable and the next is 84 meV per atom up.

***

Version P
The following is a PBE-GGA calculation of an optimized crystal structure of Na3Tl2Hg6, from Alexandria.

a = 9.439 Å, b = 9.439 Å, c = 4.181 Å
α = 90.00°, β = 90.00°, γ = 123.25°
Fractional positions:
Na: 0.000 0.000 0.000
Na: 0.269 0.731 0.500
Na: 0.731 0.269 0.500
Tl: 0.279 0.279 0.500
Tl: 0.721 0.721 0.500
Hg: 0.018 0.345 0.000
Hg: 0.345 0.018 0.000
Hg: 0.406 0.594 0.000
Hg: 0.594 0.406 0.000
Hg: 0.655 0.982 0.000
Hg: 0.982 0.655 0.000

Values from the calculation:
- ρ (g cm⁻³) = 8.962
- N(E_F) (states/eV per atom) = 0.315

***

Version Q
The following is a PBE-GGA calculation of an optimized crystal structure of Na3Tl2Hg6, from Alexandria.

a = 11.883 Å, b = 11.883 Å, c = 11.883 Å
α = 150.87°, β = 150.87°, γ = 41.67°
Fractional positions:
Na: 0.000 0.000 0.000
Na: 0.145 0.145 0.000
Na: 0.855 0.855 0.000
Tl: 0.428 0.428 0.000
Tl: 0.572 0.572 0.000
Hg: 0.071 0.571 0.500
Hg: 0.282 0.282 0.000
Hg: 0.429 0.929 0.500
Hg: 0.571 0.071 0.500
Hg: 0.718 0.718 0.000
Hg: 0.929 0.429 0.500

Values from the calculation:
- ρ (g cm⁻³) = 7.036
- N(E_F) (states/eV per atom) = 0.294

***

Going by the energies, version P is most stable and the next is 94 meV per atom up.

***

Version P
The following is a PBE-GGA calculation of an optimized crystal structure of Na3Tl3Hg2, from Alexandria.

a = 6.226 Å, b = 6.226 Å, c = 16.072 Å
α = 90.00°, β = 90.00°, γ = 132.30°
Fractional positions:
Na: 0.066 0.934 0.604
Na: 0.066 0.934 0.896
Na: 0.288 0.712 0.750
Na: 0.712 0.288 0.250
Na: 0.934 0.066 0.104
Na: 0.934 0.066 0.396
Tl: 0.381 0.619 0.552
Tl: 0.381 0.619 0.948
Tl: 0.436 0.564 0.250
Tl: 0.564 0.436 0.750
Tl: 0.619 0.381 0.052
Tl: 0.619 0.381 0.448
Hg: 0.237 0.763 0.120
Hg: 0.237 0.763 0.380
Hg: 0.763 0.237 0.620
Hg: 0.763 0.237 0.880

Values from the calculation:
- ρ (g cm⁻³) = 7.807
- N(E_F) (states/eV per atom) = 0.465

***

Version Q
The following is a PBE-GGA calculation of an optimized crystal structure of Na3Tl3Hg2, from Alexandria.

a = 9.318 Å, b = 9.318 Å, c = 5.131 Å
α = 105.87°, β = 105.87°, γ = 31.16°
Fractional positions:
Na: 0.000 0.000 0.000
Na: 0.139 0.139 0.639
Na: 0.861 0.861 0.361
Tl: 0.368 0.368 0.870
Tl: 0.500 0.500 0.500
Tl: 0.632 0.632 0.130
Hg: 0.247 0.247 0.246
Hg: 0.753 0.753 0.754

Values from the calculation:
- ρ (g cm⁻³) = 8.137
- N(E_F) (states/eV per atom) = 0.509

***

Going by the energies, version Q is most stable and the next is 10 meV per atom up.